First-principles (PBE-GGA) data for crystalline La2HfSe2N2 at its relaxed geometry, as listed in Alexandria.

CIF file:
```
data_La2HfSe2N2
_cell_length_a 4.283
_cell_length_b 4.283
_cell_length_c 15.442
_cell_angle_alpha 90.00
_cell_angle_beta 90.00
_cell_angle_gamma 90.00
_space_group_name_H-M_alt 'I 4/m m m'
_space_group_IT_number 139
_space_group_name_Hall '-I 4 2'
loop_
_atom_site_label
_atom_site_type_symbol
_atom_site_fract_x
_atom_site_fract_y
_atom_site_fract_z
_atom_site_occupancy
La1 La 0.000 0.000 0.113 1
Hf1 Hf 0.000 0.000 0.500 1
Se1 Se 0.000 0.000 0.322 1
N1 N 0.000 0.500 0.000 1
```

Properties
* crystal system: tetragonal
* magnetic moment: 0.000 μB per atom
* raw formation energy: -1.8261 eV/atom
* uncorrected energy: -8.03 eV per atom
* V: 141.66 Å³/f.u.